Material: Ca2HAu2
Method: DFT, PBE
State: relaxed

Structure (POSCAR):
```
Ca2HAu2
1.0
7.4378 0.0000 0.0000
0.0000 7.4378 0.0000
0.0000 0.0000 4.3165
Au H Ca
4 2 4
Cartesian
2.7535 0.9654 2.1583
4.6843 6.4724 2.1583
6.4724 2.7535 2.1583
0.9654 4.6843 2.1583
3.7189 3.7189 0.0000
0.0000 0.0000 0.0000
2.3820 6.1009 0.0000
1.3369 2.3820 0.0000
5.0558 1.3369 0.0000
6.1009 5.0558 0.0000
```

Output
The energy is -3.223 eV per atom. Its space group is P4/mbm, No. 127. The value obtained for the total magnetic moment is 0.00 μB per formula unit.

=====

Material: K4Ac3HfSe8
Method: DFT, PBE
State: relaxed

Structure (POSCAR):
```
K4Ac3HfSe8
1.0
8.8247 0.0000 0.0000
0.0000 9.2674 0.3042
-4.4123 -4.4071 6.2433
Se K Ac Hf
8 4 3 1
Cartesian
0.0000 4.6244 2.9364
-2.4380 2.1893 6.3856
4.4123 0.2359 3.6111
0.0000 0.2461 3.2911
2.4380 2.1893 6.3856
1.9743 2.6710 0.1619
6.8503 2.6710 0.1619
4.4123 4.6142 3.2564
-2.2062 -2.2036 3.1216
2.2062 -2.2036 3.1216
4.4123 0.0000 0.0000
0.0000 0.0000 0.0000
4.4123 4.6337 0.1521
2.2062 2.4302 3.2738
-2.2062 2.4302 3.2738
0.0000 4.6337 0.1521
```

Output
Its space group is R-3m, No. 166. The value obtained for the total magnetic moment is 0.00 μB per formula unit. The formation energy without anion corrections is -1.627 eV per atom.

=====

Material: NbInPd2O
Method: DFT, PBE
State: relaxed

Structure (POSCAR):
```
NbInPd2O
1.0
5.1201 0.0000 0.0000
0.0000 3.8553 0.0000
0.0000 0.0000 5.1201
Nb In Pd O
1 1 2 1
Cartesian
0.0000 0.0000 0.0000
2.5600 1.9277 2.5600
2.5600 0.0000 0.0000
0.0000 0.0000 2.5600
0.0000 1.9277 0.0000
```

Output
Its space group is P4/mmm, No. 123. The value obtained for the total magnetic moment is 0.00 μB per formula unit. The formation energy without anion corrections is -0.297 eV per atom.

=====

Material: Ca5CdAg4
Method: DFT, PBE
State: relaxed

Structure (POSCAR):
```
Ca5CdAg4
1.0
3.7568 0.0000 0.0000
0.0000 3.7568 0.0000
0.0000 0.0000 18.5154
Ca Ag Cd
5 4 1
Cartesian
1.8784 1.8784 16.5426
1.8784 1.8784 5.6258
1.8784 1.8784 9.2577
1.8784 1.8784 1.9728
1.8784 1.8784 12.8896
0.0000 0.0000 11.0773
0.0000 0.0000 7.4381
0.0000 0.0000 14.7252
0.0000 0.0000 3.7902
0.0000 0.0000 0.0000
```

Output
Its space group is P4/mmm, No. 123. The value obtained for the total magnetic moment is 0.00 μB per formula unit. The formation energy comes out at -0.32 eV per atom.